Entry 1:
An optimized crystal structure of GdDyCo2. Source: the Alexandria database, functional PBE-GGA.

Computed properties:
* ΔH_f (0 K): -0.127 eV per atom
* Fermi-level density of states: 0.316 states/eV/atom
* calculated volume: 75.7 Å³/cell
* energy: -8.351 eV per atom

```
data_GdDyCo2
_symmetry_space_group_name_H-M 'P 4/m m m'
_symmetry_Int_Tables_number 123
_symmetry_space_group_name_Hall '-P 4 2'
_cell_length_a 4.742
_cell_length_b 4.742
_cell_length_c 3.366
_cell_angle_alpha 90.00
_cell_angle_beta 90.00
_cell_angle_gamma 90.00
loop_
_atom_site_label
_atom_site_fract_x
_atom_site_fract_y
_atom_site_fract_z
Gd1 0.000 0.000 0.000
Dy1 0.500 0.500 0.000
Co1 0.000 0.500 0.500
```



Entry 2:
An optimized crystal structure of GdDyCo2. Source: the Alexandria database, functional PBE-GGA.

Computed properties:
* ΔH_f (0 K): -0.128 eV per atom
* Fermi-level density of states: 0.226 states/eV/atom
* calculated volume: 302.3 Å³/cell
* energy: -8.352 eV per atom

```
data_GdDyCo2
_symmetry_space_group_name_H-M 'F m -3 m'
_symmetry_Int_Tables_number 225
_symmetry_space_group_name_Hall '-F 4 2 3'
_cell_length_a 6.711
_cell_length_b 6.711
_cell_length_c 6.711
_cell_angle_alpha 90.00
_cell_angle_beta 90.00
_cell_angle_gamma 90.00
loop_
_atom_site_label
_atom_site_fract_x
_atom_site_fract_y
_atom_site_fract_z
Gd1 0.000 0.000 0.000
Dy1 0.000 0.000 0.500
Co1 0.250 0.250 0.250
```



Entry 3:
An optimized crystal structure of GdDyInCo. Source: the Alexandria database, functional PBE-GGA.

Computed properties:
* ΔH_f (0 K): -0.189 eV per atom
* Fermi-level density of states: 0.688 states/eV/atom
* calculated volume: 377.9 Å³/cell
* energy: -7.321 eV per atom

```
data_GdDyInCo
_symmetry_space_group_name_H-M 'F -4 3 m'
_symmetry_Int_Tables_number 216
_symmetry_space_group_name_Hall 'F -4 2 3'
_cell_length_a 7.230
_cell_length_b 7.230
_cell_length_c 7.230
_cell_angle_alpha 90.00
_cell_angle_beta 90.00
_cell_angle_gamma 90.00
loop_
_atom_site_label
_atom_site_fract_x
_atom_site_fract_y
_atom_site_fract_z
Gd1 0.000 0.000 0.000
Dy1 0.000 0.000 0.500
In1 0.250 0.250 0.750
Co1 0.250 0.250 0.250
```



Entry 4:
An optimized crystal structure of GdDyCoIr. Source: the Alexandria database, functional PBE-GGA.

Computed properties:
* ΔH_f (0 K): -0.482 eV per atom
* Fermi-level density of states: 0.295 states/eV/atom
* calculated volume: 317.3 Å³/cell
* energy: -9.144 eV per atom

```
data_GdDyCoIr
_symmetry_space_group_name_H-M 'F -4 3 m'
_symmetry_Int_Tables_number 216
_symmetry_space_group_name_Hall 'F -4 2 3'
_cell_length_a 6.820
_cell_length_b 6.820
_cell_length_c 6.820
_cell_angle_alpha 90.00
_cell_angle_beta 90.00
_cell_angle_gamma 90.00
loop_
_atom_site_label
_atom_site_fract_x
_atom_site_fract_y
_atom_site_fract_z
Gd1 0.000 0.000 0.000
Dy1 0.000 0.000 0.500
Co1 0.250 0.250 0.750
Ir1 0.250 0.250 0.250
```



Question: Look up the Fermi-level density of states of the second one.
Answer: 0.226 states/eV/atom